1.
# NbSiPb3

Crystalline NbSiPb3 at its relaxed geometry (GGA-PBE, the Alexandria database).

a = 5.4992 Å, b = 5.4992 Å, c = 5.4992 Å
α = 90.00°, β = 90.00°, γ = 90.00°
With the nearest neighbours (Å) after each atom.
Sites, in units of the cell vectors:
Nb: 0.0000 0.0000 0.0000  6 Pb 2.75
Si: 0.5000 0.5000 0.5000  12 Pb 3.89
Pb: 0.0000 0.0000 0.5000  2 Nb 2.75
Pb: 0.0000 0.5000 0.0000  2 Nb 2.75
Pb: 0.5000 0.0000 0.0000  2 Nb 2.75

The magnetic moment is 0.39 μB/cell. For the calculated total energy, the calculation gives -4.40 eV/atom. The value obtained for the uncorrected formation energy is 926 meV/atom. Its space group is Pm-3m, No. 221.

***

2.
# NbSiPb

Crystalline NbSiPb at its relaxed geometry (GGA-PBE, the Alexandria database).

a = 3.8077 Å, b = 6.0495 Å, c = 5.8570 Å
α = 90.00°, β = 108.79°, γ = 90.00°
With the nearest neighbours (Å) after each atom.
Sites, in units of the cell vectors:
Nb: 0.0650 0.2500 0.1316  4 Si 2.54
Nb: 0.9350 0.7500 0.8684  4 Si 2.54
Si: 0.5000 0.0000 0.0000  4 Nb 2.54
Si: 0.5000 0.5000 0.0000  4 Nb 2.54
Pb: 0.2175 0.7500 0.4303  5 Nb 3.08-3.45, 4 Si 3.40-3.42
Pb: 0.7825 0.2500 0.5697  5 Nb 3.08-3.45, 4 Si 3.40-3.42

The magnetic moment is 0.00 μB/cell. For the calculated total energy, the calculation gives -6.38 eV/atom. The value obtained for the uncorrected formation energy is 24 meV/atom. Its space group is P2_1/m, No. 11.

***

3.
# NbSiPb

Crystalline NbSiPb at its relaxed geometry (GGA-PBE, the Alexandria database).

a = 3.5730 Å, b = 6.2625 Å, c = 5.8975 Å
α = 90.00°, β = 107.57°, γ = 90.00°
With the nearest neighbours (Å) after each atom.
Sites, in units of the cell vectors:
Nb: 0.0551 0.0000 0.1102  4 Si 2.58-2.59
Nb: 0.9449 0.5000 0.8898  4 Si 2.58-2.59
Si: 0.4332 0.7964 0.8667  4 Nb 2.58-2.59
Si: 0.5668 0.2964 0.1333  4 Nb 2.58-2.59
Pb: 0.2996 0.1984 0.6034  4 Si 2.92-3.25, 3 Nb 3.04-3.06
Pb: 0.7004 0.6984 0.3966  4 Si 2.92-3.25, 3 Nb 3.04-3.06

The magnetic moment is 0.00 μB/cell. For the calculated total energy, the calculation gives -6.38 eV/atom. The value obtained for the uncorrected formation energy is 21 meV/atom. Its space group is P2_1, No. 4.

***

4.
# NbSi2Pb

Crystalline NbSi2Pb at its relaxed geometry (GGA-PBE, the Alexandria database).

a = 7.3612 Å, b = 7.3612 Å, c = 7.3612 Å
α = 130.58°, β = 130.58°, γ = 72.48°
With the nearest neighbours (Å) after each atom.
Sites, in units of the cell vectors:
Nb: 0.0000 0.0000 0.0000  4 Si 2.51
Nb: 0.7500 0.2500 0.5000  4 Si 2.51
Si: 0.0880 0.6250 0.9630  2 Nb 2.51, 2 Pb 2.77
Si: 0.3750 0.3380 0.4630  2 Nb 2.51, 2 Pb 2.77
Si: 0.6620 0.1250 0.0370  2 Nb 2.51, 2 Pb 2.77
Si: 0.8750 0.9120 0.5370  2 Nb 2.51, 2 Pb 2.77
Pb: 0.2500 0.7500 0.5000  4 Si 2.77
Pb: 0.5000 0.5000 0.0000  4 Si 2.77

The magnetic moment is 0.00 μB/cell. For the calculated total energy, the calculation gives -5.45 eV/atom. The value obtained for the uncorrected formation energy is 708 meV/atom. Its space group is I-42d, No. 122.

***

5.
# NbSiPb

Crystalline NbSiPb at its relaxed geometry (GGA-PBE, the Alexandria database).

a = 4.9395 Å, b = 4.9395 Å, c = 8.7622 Å
α = 106.02°, β = 106.02°, γ = 40.56°
With the nearest neighbours (Å) after each atom.
Sites, in units of the cell vectors:
Nb: 0.1746 0.1746 0.0936  5 Si 2.65
Nb: 0.8254 0.8254 0.9064  5 Si 2.65
Si: 0.4689 0.4689 0.1312  1 Si 2.53, 5 Nb 2.65
Si: 0.5311 0.5311 0.8688  1 Si 2.53, 5 Nb 2.65
Pb: 0.1635 0.1635 0.6151  2 Nb 3.07, 5 Pb 3.11-3.42, 2 Si 3.31
Pb: 0.8365 0.8365 0.3849  2 Nb 3.07, 5 Pb 3.11-3.42, 2 Si 3.31

The magnetic moment is 0.00 μB/cell. For the calculated total energy, the calculation gives -6.45 eV/atom. The value obtained for the uncorrected formation energy is -45 meV/atom. Its space group is C2/m, No. 12.

***

6.
# NbSi3Pb

Crystalline NbSi3Pb at its relaxed geometry (GGA-PBE, the Alexandria database).

a = 4.9300 Å, b = 4.9300 Å, c = 4.9300 Å
α = 90.00°, β = 90.00°, γ = 90.00°
With the nearest neighbours (Å) after each atom.
Sites, in units of the cell vectors:
Nb: 0.0000 0.0000 0.0000  6 Si 2.46
Si: 0.0000 0.0000 0.5000  2 Nb 2.46
Si: 0.0000 0.5000 0.0000  2 Nb 2.46
Si: 0.5000 0.0000 0.0000  2 Nb 2.46
Pb: 0.5000 0.5000 0.5000  12 Si 3.49

The magnetic moment is 0.00 μB/cell. For the calculated total energy, the calculation gives -5.47 eV/atom. The value obtained for the uncorrected formation energy is 542 meV/atom. Its space group is Pm-3m, No. 221.

***

7.
# NbSiPb

Crystalline NbSiPb at its relaxed geometry (GGA-PBE, the Alexandria database).

a = 10.4298 Å, b = 10.4298 Å, c = 3.5970 Å
α = 90.00°, β = 90.00°, γ = 160.80°
With the nearest neighbours (Å) after each atom.
Sites, in units of the cell vectors:
Nb: 0.0670 0.9330 0.7500  6 Si 2.57-2.78
Nb: 0.9330 0.0670 0.2500  6 Si 2.57-2.78
Si: 0.4615 0.5385 0.7500  2 Si 2.40, 4 Nb 2.57
Si: 0.5385 0.4615 0.2500  2 Si 2.40, 4 Nb 2.57
Pb: 0.3194 0.6806 0.7500  1 Si 2.92
Pb: 0.6806 0.3194 0.2500  1 Si 2.92

The magnetic moment is 0.00 μB/cell. For the calculated total energy, the calculation gives -6.56 eV/atom. The value obtained for the uncorrected formation energy is -160 meV/atom. Its space group is Cmcm, No. 63.

***

8.
# NbSi3Pb

Crystalline NbSi3Pb at its relaxed geometry (GGA-PBE, the Alexandria database).

a = 5.0728 Å, b = 5.0728 Å, c = 5.0728 Å
α = 90.00°, β = 90.00°, γ = 90.00°
With the nearest neighbours (Å) after each atom.
Sites, in units of the cell vectors:
Nb: 0.0000 0.0000 0.0000  12 Si 3.59
Si: 0.0000 0.5000 0.5000  2 Pb 2.54
Si: 0.5000 0.0000 0.5000  2 Pb 2.54
Si: 0.5000 0.5000 0.0000  2 Pb 2.54
Pb: 0.5000 0.5000 0.5000  6 Si 2.54

The magnetic moment is 0.00 μB/cell. For the calculated total energy, the calculation gives -3.97 eV/atom. The value obtained for the uncorrected formation energy is 2044 meV/atom. Its space group is Pm-3m, No. 221.

***

9.
# Nb2Si2Pb

Crystalline Nb2Si2Pb at its relaxed geometry (GGA-PBE, the Alexandria database).

a = 7.1720 Å, b = 7.1720 Å, c = 3.4594 Å
α = 90.00°, β = 90.00°, γ = 90.00°
With the nearest neighbours (Å) after each atom.
Sites, in units of the cell vectors:
Nb: 0.1671 0.3329 0.0000  6 Si 2.71-2.76
Nb: 0.3329 0.8329 0.0000  6 Si 2.71-2.76
Nb: 0.6671 0.1671 0.0000  6 Si 2.71-2.76
Nb: 0.8329 0.6671 0.0000  6 Si 2.71-2.76
Si: 0.1203 0.6203 0.5000  1 Si 2.44, 4 Nb 2.71
Si: 0.3797 0.1203 0.5000  1 Si 2.44, 4 Nb 2.71
Si: 0.6203 0.8797 0.5000  1 Si 2.44, 4 Nb 2.71
Si: 0.8797 0.3797 0.5000  1 Si 2.44, 4 Nb 2.71
Pb: 0.0000 0.0000 0.5000  4 Si 2.86, 8 Nb 3.18
Pb: 0.5000 0.5000 0.5000  4 Si 2.86, 8 Nb 3.18

The magnetic moment is 0.00 μB/cell. For the calculated total energy, the calculation gives -6.95 eV/atom. The value obtained for the uncorrected formation energy is -9 meV/atom. Its space group is P4/mbm, No. 127.

***

10.
# YNbSiPb2

Crystalline YNbSiPb2 at its relaxed geometry (GGA-PBE, the Alexandria database).

a = 5.7734 Å, b = 5.7734 Å, c = 4.9733 Å
α = 90.00°, β = 90.00°, γ = 90.00°
With the nearest neighbours (Å) after each atom.
Sites, in units of the cell vectors:
Y: 0.0000 0.0000 0.0000  2 Nb 2.49
Nb: 0.0000 0.0000 0.5000  2 Y 2.49
Si: 0.5000 0.5000 0.5000  8 Pb 3.81, 4 Nb 4.08
Pb: 0.0000 0.5000 0.0000  2 Y 2.89
Pb: 0.5000 0.0000 0.0000  2 Y 2.89

The magnetic moment is 1.43 μB/cell. For the calculated total energy, the calculation gives -4.38 eV/atom. The value obtained for the uncorrected formation energy is 1496 meV/atom. Its space group is P4/mmm, No. 123.

***

Summary of ρ in g cm⁻³
7.41 8.53 8.66 5.26 8.20 5.33 8.47 4.89 8.38 6.25
(order as listed above)